Below is Zn2InReN after structural relaxation, with properties calculated at the PBE level.

```
data_Zn2InReN
_chemical_formula_sum 'Zn2 In1 Re1 N1'
_cell_length_a 5.2422
_cell_length_b 5.2422
_cell_length_c 3.8871
_cell_angle_alpha 90.00
_cell_angle_beta 90.00
_cell_angle_gamma 90.00
_symmetry_space_group_name_H-M 'P 1'
_symmetry_Int_Tables_number 1
loop_
_symmetry_equiv_pos_as_xyz
'x,y,z'
loop_
_atom_site_label
_atom_site_type_symbol
_atom_site_fract_x
_atom_site_fract_y
_atom_site_fract_z
Zn1 Zn 0.0000 0.5000 0.0000
Zn2 Zn 0.5000 0.0000 0.0000
In1 In 0.0000 0.0000 0.0000
Re1 Re 0.5000 0.5000 0.5000
N1 N 0.0000 0.0000 0.5000
```

Computed properties:
The calculation puts the total energy at -3.2577 eV per atom. The energy relative to the elements, uncorrected is 1.9543 eV per atom.